# 1
AlIr2Rh, relaxed, DFT PBE; calculated total energy = -7.60 eV/atom; ρ = 14.96 g cm⁻³; space-group type = I4/mmm (139); ΔH_f (0 K) = -0.394 eV per atom
1.0
-1.947 1.947 3.764
1.947 -1.947 3.764
1.947 1.947 -3.764
Al Ir Rh
1 2 1
direct
0.000 0.000 0.000
0.250 0.750 0.500
0.750 0.250 0.500
0.500 0.500 0.000

=====

# 2
AlIr2Rh, relaxed, DFT PBE; calculated total energy = -7.63 eV/atom; ρ = 14.97 g cm⁻³; space-group type = Cm (8); ΔH_f (0 K) = -0.422 eV per atom
1.0
4.514 -1.386 0.000
4.514 1.386 0.000
-1.004 0.000 4.560
Al Ir Rh
1 2 1
direct
0.000 0.000 0.000
0.257 0.257 0.721
0.504 0.504 0.501
0.745 0.745 0.224

=====

# 3
AlIr2Rh, relaxed, DFT PBE; calculated total energy = -7.61 eV/atom; ρ = 14.99 g cm⁻³; space-group type = Cmmm (65); ΔH_f (0 K) = -0.403 eV per atom
1.0
2.760 -3.713 0.000
2.760 3.713 0.000
0.000 0.000 2.779
Al Ir Rh
1 2 1
direct
0.000 0.000 0.000
0.000 0.500 0.500
0.500 0.000 0.500
0.500 0.500 0.000

=====

# 4
AlIr2Rh, relaxed, DFT PBE; calculated total energy = -7.58 eV/atom; ρ = 15.03 g cm⁻³; space-group type = P4mm (99); ΔH_f (0 K) = -0.381 eV per atom
1.0
2.770 0.000 0.000
0.000 2.770 0.000
0.000 0.000 7.407
Al Ir Rh
1 2 1
direct
0.000 0.000 0.000
0.000 0.000 0.502
0.500 0.500 0.247
0.500 0.500 0.763

=====

# 5
AlIrRh2, relaxed, DFT PBE; calculated total energy = -7.19 eV/atom; ρ = 12.39 g cm⁻³; space-group type = Imm2 (44); ΔH_f (0 K) = -0.364 eV per atom
1.0
-1.427 2.207 4.520
1.427 -2.207 4.520
1.427 2.207 -4.520
Al Ir Rh
1 1 2
direct
0.000 0.000 0.000
0.226 0.726 0.500
0.498 0.498 0.000
0.777 0.277 0.500

=====

# 6
AlIrRh2, relaxed, DFT PBE; calculated total energy = -7.13 eV/atom; ρ = 12.40 g cm⁻³; space-group type = R3m (160); ΔH_f (0 K) = -0.307 eV per atom
1.0
1.394 0.805 8.457
-1.394 0.805 8.457
0.000 -1.609 8.457
Al Ir Rh
1 1 2
direct
0.000 0.000 0.000
0.253 0.253 0.253
0.499 0.499 0.499
0.745 0.745 0.745

=====

# 7
Al2IrRh, relaxed, DFT PBE; calculated total energy = -6.95 eV/atom; ρ = 10.62 g cm⁻³; ΔE to the lowest computed polymorph = 2 meV per atom; space-group type = P4/mmm (123); ΔH_f (0 K) = -1.022 eV per atom
1.0
4.271 0.000 0.000
0.000 4.271 0.000
0.000 0.000 2.992
Al Ir Rh
2 1 1
direct
0.000 0.500 0.000
0.500 0.000 0.000
0.000 0.000 0.500
0.500 0.500 0.500

=====

# 8
Al2IrRh, relaxed, DFT PBE; calculated total energy = -6.95 eV/atom; ρ = 10.62 g cm⁻³; ΔE to the lowest computed polymorph = 0 meV per atom; space-group type = Fm-3m (225); ΔH_f (0 K) = -1.024 eV per atom
1.0
0.000 3.011 3.011
3.011 0.000 3.011
3.011 3.011 0.000
Al Ir Rh
2 1 1
direct
0.250 0.250 0.250
0.750 0.750 0.750
0.000 0.000 0.000
0.500 0.500 0.500

=====

# 9
AlIr2Rh, relaxed, DFT PBE; calculated total energy = -7.12 eV/atom; ρ = 13.59 g cm⁻³; space-group type = I-42d (122); ΔH_f (0 K) = 0.086 eV per atom
1.0
-1.863 1.863 9.060
1.863 -1.863 9.060
1.863 1.863 -9.060
Al Ir Rh
2 4 2
direct
0.000 0.000 0.000
0.750 0.250 0.500
0.128 0.625 0.003
0.375 0.378 0.503
0.622 0.125 0.997
0.875 0.872 0.497
0.250 0.750 0.500
0.500 0.500 0.000

=====

# 10
AlIr2Rh, relaxed, DFT PBE; calculated total energy = -7.38 eV/atom; ρ = 14.55 g cm⁻³; space-group type = C2/m (12); ΔH_f (0 K) = -0.179 eV per atom
1.0
2.641 -4.655 0.000
2.641 4.655 0.000
-1.376 0.000 2.387
Al Ir Rh
1 2 1
direct
0.000 0.000 0.000
0.000 0.500 0.500
0.500 0.000 0.500
0.500 0.500 0.000

=====

# 11
AlIrRh2, relaxed, DFT PBE; calculated total energy = -7.22 eV/atom; ρ = 12.52 g cm⁻³; space-group type = P4mm (99); ΔH_f (0 K) = -0.396 eV per atom
1.0
2.803 0.000 0.000
0.000 2.803 0.000
0.000 0.000 7.174
Al Ir Rh
1 1 2
direct
0.000 0.000 0.000
0.500 0.500 0.240
0.000 0.000 0.501
0.500 0.500 0.770

=====

# 12
Al5Ir4Rh, relaxed, DFT PBE; calculated total energy = -7.12 eV/atom; ρ = 12.20 g cm⁻³; space-group type = P4/mmm (123); ΔH_f (0 K) = -0.973 eV per atom
1.0
3.011 0.000 0.000
0.000 3.011 0.000
0.000 0.000 15.111
Al Ir Rh
5 4 1
direct
0.000 0.000 0.000
0.000 0.000 0.201
0.000 0.000 0.402
0.000 0.000 0.598
0.000 0.000 0.799
0.500 0.500 0.100
0.500 0.500 0.301
0.500 0.500 0.699
0.500 0.500 0.900
0.500 0.500 0.500

=====

# 13
Al2IrRh, relaxed, DFT PBE; calculated total energy = -6.60 eV/atom; ρ = 10.23 g cm⁻³; ΔE to the lowest computed polymorph = 350 meV per atom; space-group type = I-4m2 (119); ΔH_f (0 K) = -0.674 eV per atom
1.0
-1.824 1.824 4.261
1.824 -1.824 4.261
1.824 1.824 -4.261
Al Ir Rh
2 1 1
direct
0.000 0.000 0.000
0.750 0.250 0.500
0.250 0.750 0.500
0.500 0.500 0.000

=====

# 14
AlIr2Rh, relaxed, DFT PBE; calculated total energy = -7.65 eV/atom; ρ = 14.99 g cm⁻³; space-group type = P2/m (10); ΔH_f (0 K) = -0.442 eV per atom
1.0
4.624 0.000 0.000
0.000 2.770 0.000
-1.344 0.000 4.449
Al Ir Rh
1 2 1
direct
0.000 0.000 0.000
0.500 0.000 0.500
0.500 0.500 0.000
0.000 0.500 0.500

=====

# 15
AlIrRh2, relaxed, DFT PBE; calculated total energy = -7.23 eV/atom; ρ = 12.43 g cm⁻³; space-group type = Pmmm (47); ΔH_f (0 K) = -0.405 eV per atom
1.0
2.780 0.000 0.000
0.000 3.769 0.000
0.000 0.000 5.418
Al Ir Rh
1 1 2
direct
0.000 0.000 0.000
0.000 0.000 0.500
0.500 0.500 0.249
0.500 0.500 0.751

=====

# 16
Al2IrRh, relaxed, DFT PBE; calculated total energy = -6.59 eV/atom; ρ = 10.09 g cm⁻³; ΔE to the lowest computed polymorph = 356 meV per atom; space-group type = C2/m (12); ΔH_f (0 K) = -0.669 eV per atom
1.0
4.082 -1.442 0.000
4.082 1.442 0.000
-1.040 0.000 4.879
Al Ir Rh
2 1 1
direct
0.250 0.250 0.247
0.750 0.750 0.753
0.500 0.500 0.000
0.000 0.000 0.500

=====

# 17
AlIr2Rh, relaxed, DFT PBE; calculated total energy = -7.35 eV/atom; ρ = 14.48 g cm⁻³; space-group type = R3m (160); ΔH_f (0 K) = -0.146 eV per atom
1.0
2.132 1.231 3.745
-2.132 1.231 3.745
0.000 -2.462 3.745
Al Ir Rh
1 2 1
direct
0.000 0.000 0.000
0.262 0.262 0.262
0.495 0.495 0.495
0.727 0.727 0.727

=====

# 18
AlIr2Rh, relaxed, DFT PBE; calculated total energy = -7.57 eV/atom; ρ = 14.90 g cm⁻³; space-group type = Pmm2 (25); ΔH_f (0 K) = -0.363 eV per atom
1.0
2.780 0.000 0.000
0.000 3.786 0.000
0.000 0.000 5.445
Al Ir Rh
1 2 1
direct
0.000 0.000 0.000
0.000 0.000 0.501
0.500 0.500 0.262
0.500 0.500 0.764

=====

# 19
AlIrRh2, relaxed, DFT PBE; calculated total energy = -6.79 eV/atom; ρ = 11.34 g cm⁻³; space-group type = I-42d (122); ΔH_f (0 K) = 0.033 eV per atom
1.0
-1.867 1.867 8.927
1.867 -1.867 8.927
1.867 1.867 -8.927
Al Ir Rh
2 2 4
direct
0.000 0.000 0.000
0.750 0.250 0.500
0.250 0.750 0.500
0.500 0.500 0.000
0.126 0.625 0.001
0.375 0.376 0.501
0.624 0.125 0.999
0.875 0.874 0.499

=====

# 20
AlIrRh2, relaxed, DFT PBE; calculated total energy = -7.30 eV/atom; ρ = 12.48 g cm⁻³; space-group type = I4/mmm (139); ΔH_f (0 K) = -0.474 eV per atom
1.0
-1.930 1.930 3.796
1.930 -1.930 3.796
1.930 1.930 -3.796
Al Ir Rh
1 1 2
direct
0.000 0.000 0.000
0.500 0.500 0.000
0.250 0.750 0.500
0.750 0.250 0.500

=====

# 21
AlIrRh2, relaxed, DFT PBE; calculated total energy = -7.27 eV/atom; ρ = 12.46 g cm⁻³; space-group type = I-4m2 (119); ΔH_f (0 K) = -0.446 eV per atom
1.0
-1.944 1.944 3.748
1.944 -1.944 3.748
1.944 1.944 -3.748
Al Ir Rh
1 1 2
direct
0.000 0.000 0.000
0.250 0.750 0.500
0.500 0.500 0.000
0.750 0.250 0.500

=====

# 22
Al2IrRh, relaxed, DFT PBE; calculated total energy = -6.60 eV/atom; ρ = 10.09 g cm⁻³; ΔE to the lowest computed polymorph = 346 meV per atom; space-group type = R-3m (166); ΔH_f (0 K) = -0.679 eV per atom
1.0
1.445 0.834 7.940
-1.445 0.834 7.940
0.000 -1.669 7.940
Al Ir Rh
2 1 1
direct
0.250 0.250 0.250
0.750 0.750 0.750
0.500 0.500 0.500
0.000 0.000 0.000

=====

# 23
AlIrRh2, relaxed, DFT PBE; calculated total energy = -7.07 eV/atom; ρ = 12.20 g cm⁻³; space-group type = R3m (160); ΔH_f (0 K) = -0.239 eV per atom
1.0
2.143 1.237 3.636
-2.143 1.237 3.636
0.000 -2.475 3.636
Al Ir Rh
1 1 2
direct
0.000 0.000 0.000
0.740 0.740 0.740
0.262 0.262 0.262
0.501 0.501 0.501

=====

# 24
AlIrRh2, relaxed, DFT PBE; calculated total energy = -6.98 eV/atom; ρ = 12.19 g cm⁻³; space-group type = Cmm2 (35); ΔH_f (0 K) = -0.155 eV per atom
1.0
1.398 -2.365 0.000
1.398 2.365 0.000
0.000 0.000 8.756
Al Ir Rh
1 1 2
direct
0.000 0.000 0.000
0.500 0.500 0.237
0.000 0.000 0.503
0.500 0.500 0.769

=====

# 25
AlIr2Rh, relaxed, DFT PBE; calculated total energy = -7.46 eV/atom; ρ = 14.85 g cm⁻³; space-group type = P4/mmm (123); ΔH_f (0 K) = -0.254 eV per atom
1.0
4.488 0.000 0.000
0.000 4.488 0.000
0.000 0.000 2.856
Al Ir Rh
1 2 1
direct
0.000 0.000 0.000
0.000 0.500 0.500
0.500 0.000 0.500
0.500 0.500 0.000

=====

# 26
AlIr2Rh, relaxed, DFT PBE; calculated total energy = -7.53 eV/atom; ρ = 14.92 g cm⁻³; space-group type = Pmmm (47); ΔH_f (0 K) = -0.324 eV per atom
1.0
2.782 0.000 0.000
0.000 3.763 0.000
0.000 0.000 5.468
Al Ir Rh
1 2 1
direct
0.000 0.000 0.000
0.500 0.500 0.246
0.500 0.500 0.754
0.000 0.000 0.500

=====

# 27
AlIr2Rh, relaxed, DFT PBE; calculated total energy = -7.52 eV/atom; ρ = 14.95 g cm⁻³; space-group type = R3m (160); ΔH_f (0 K) = -0.312 eV per atom
1.0
1.393 0.804 8.501
-1.393 0.804 8.501
0.000 -1.608 8.501
Al Ir Rh
1 2 1
direct
0.000 0.000 0.000
0.252 0.252 0.252
0.499 0.499 0.499
0.745 0.745 0.745

=====

# 28
AlIrRh2, relaxed, DFT PBE; calculated total energy = -7.24 eV/atom; ρ = 12.54 g cm⁻³; space-group type = P4/mmm (123); ΔH_f (0 K) = -0.413 eV per atom
1.0
2.771 0.000 0.000
0.000 2.771 0.000
0.000 0.000 7.332
Al Ir Rh
1 1 2
direct
0.000 0.000 0.000
0.000 0.000 0.500
0.500 0.500 0.239
0.500 0.500 0.761

=====

# 29
Al4IrRh, relaxed, DFT PBE; calculated total energy = -5.35 eV/atom; ρ = 7.74 g cm⁻³; ΔE to the lowest computed polymorph = 619 meV per atom; space-group type = F-43m (216); ΔH_f (0 K) = -0.151 eV per atom
1.0
0.000 3.509 3.509
3.509 0.000 3.509
3.509 3.509 0.000
Al Ir Rh
4 1 1
direct
0.125 0.125 0.125
0.125 0.125 0.625
0.125 0.625 0.125
0.625 0.125 0.125
0.750 0.750 0.750
0.500 0.500 0.500

=====

Number 1: total magnetization 0.0 μB per cell, volume 14.3 Å³/atom. Number 2: total magnetization 0.0 μB per cell, volume 14.3 Å³/atom. Number 3: total magnetization 0.0 μB per cell, volume 14.2 Å³/atom. Number 4: total magnetization 0.0 μB per cell, volume 14.2 Å³/atom. Number 5: total magnetization 0.3 μB per cell, volume 14.2 Å³/atom. Number 6: total magnetization 0.0 μB per cell, volume 14.2 Å³/atom. Number 7: total magnetization 0.0 μB per cell, volume 13.6 Å³/atom. Number 8: total magnetization 0.0 μB per cell, volume 13.7 Å³/atom. Number 9: total magnetization 0.0 μB per cell, volume 15.7 Å³/atom. Number 10: total magnetization 0.0 μB per cell, volume 14.7 Å³/atom. Number 11: total magnetization 0.0 μB per cell, volume 14.1 Å³/atom. Number 12: total magnetization 0.0 μB per cell, volume 13.7 Å³/atom. Number 13: total magnetization 0.0 μB per cell, volume 14.2 Å³/atom. Number 14: total magnetization 0.0 μB per cell, volume 14.2 Å³/atom. Number 15: total magnetization 0.0 μB per cell, volume 14.2 Å³/atom. Number 16: total magnetization 0.0 μB per cell, volume 14.4 Å³/atom. Number 17: total magnetization 0.3 μB per cell, volume 14.7 Å³/atom. Number 18: total magnetization 0.0 μB per cell, volume 14.3 Å³/atom. Number 19: total magnetization 0.0 μB per cell, volume 15.6 Å³/atom. Number 20: total magnetization 0.0 μB per cell, volume 14.1 Å³/atom. Number 21: total magnetization 0.0 μB per cell, volume 14.2 Å³/atom. Number 22: total magnetization 0.0 μB per cell, volume 14.4 Å³/atom. Number 23: total magnetization 0.4 μB per cell, volume 14.5 Å³/atom. Number 24: total magnetization 0.0 μB per cell, volume 14.5 Å³/atom. Number 25: total magnetization 0.0 μB per cell, volume 14.4 Å³/atom. Number 26: total magnetization 0.0 μB per cell, volume 14.3 Å³/atom. Number 27: total magnetization 0.0 μB per cell, volume 14.3 Å³/atom. Number 28: total magnetization 0.0 μB per cell, volume 14.1 Å³/atom. Number 29: total magnetization 0.0 μB per cell, volume 14.4 Å³/atom.